[1]
A plane-wave DFT calculation with PBE was carried out for crystalline DyTm2Mg4 at its relaxed geometry.

Cell lengths 9.8454, 11.0237, 3.5429 Å; angles 90.00, 90.00, 90.00 degrees
Space group Cmmm (No. 65)
Asymmetric unit:
Dy (0.0000, 0.0000, 0.0000) [2 per cell]
Tm (0.1948, 0.5000, 0.5000) [4 per cell]
Mg (0.0000, 0.2537, 0.5000) [4 per cell]
Mg (0.2500, 0.2500, 0.0000) [4 per cell]

Summary:
Energy, eV per cell: -38.430
Density, Mg/m³: 5.16
Total magnetization, Bohr magnetons per cell: 0.00
Offset from the most stable computed form, eV/f.u.: 0.00
Formation energy from the elements, eV per atom: 0.1012

=====

[2]
A plane-wave DFT calculation with PBE was carried out for crystalline Dy4Tm3Mg at its relaxed geometry.

Cell lengths 11.1453, 7.0232, 6.1512 Å; angles 90.00, 90.00, 90.00 degrees
Space group Pmn2_1 (No. 31)
Asymmetric unit:
Dy (0.0000, 0.1249, 0.0000) [2 per cell]
Dy (0.0000, 0.8738, 0.4793) [2 per cell]
Dy (0.2452, 0.8714, 0.8262) [4 per cell]
Tm (0.0000, 0.3723, 0.4801) [2 per cell]
Tm (0.2461, 0.3777, 0.8151) [4 per cell]
Mg (0.0000, 0.6185, 0.9878) [2 per cell]

Summary:
Energy, eV per cell: -66.732
Density, Mg/m³: 8.15
Total magnetization, Bohr magnetons per cell: 0.00
Offset from the most stable computed form, eV/f.u.: 0.06
Formation energy from the elements, eV per atom: 0.0064

=====

[3]
A plane-wave DFT calculation with PBE was carried out for crystalline Dy5Tm4Mg at its relaxed geometry.

Cell lengths 3.5211, 3.5211, 24.2488 Å; angles 90.00, 90.00, 90.00 degrees
Space group P4/mmm (No. 123)
Asymmetric unit:
Dy (0.0000, 0.0000, 0.0000) [1 per cell]
Dy (0.0000, 0.0000, 0.2044) [2 per cell]
Dy (0.0000, 0.0000, 0.4076) [2 per cell]
Tm (0.5000, 0.5000, 0.1023) [2 per cell]
Tm (0.5000, 0.5000, 0.3070) [2 per cell]
Mg (0.5000, 0.5000, 0.5000) [1 per cell]

Summary:
Energy, eV per cell: -42.449
Density, Mg/m³: 8.35
Total magnetization, Bohr magnetons per cell: 0.00
Offset from the most stable computed form, eV/f.u.: 0.00
Formation energy from the elements, eV per atom: 0.0042

=====

[4]
A plane-wave DFT calculation with PBE was carried out for crystalline DyTm2Mg6 at its relaxed geometry.

Cell lengths 3.2854, 9.0188, 15.8343 Å; angles 90.00, 90.00, 90.00 degrees
Space group Immm (No. 71)
Asymmetric unit:
Dy (0.0000, 0.0000, 0.0000) [2 per cell]
Tm (0.0000, 0.5000, 0.1516) [4 per cell]
Mg (0.0000, 0.1718, 0.5000) [4 per cell]
Mg (0.0000, 0.3266, 0.3317) [8 per cell]

Summary:
Energy, eV per cell: -46.277
Density, Mg/m³: 4.57
Total magnetization, Bohr magnetons per cell: 0.00
Offset from the most stable computed form, eV/f.u.: 0.50
Formation energy from the elements, eV per atom: -0.0029

=====

[5]
A plane-wave DFT calculation with PBE was carried out for crystalline Dy2TmMg8 at its relaxed geometry.

Cell lengths 5.2758, 7.7819, 13.9996 Å; angles 90.00, 90.00, 90.00 degrees
Space group Immm (No. 71)
Asymmetric unit:
Dy (0.0000, 0.0000, 0.2131) [4 per cell]
Tm (0.0000, 0.0000, 0.5000) [2 per cell]
Mg (0.0000, 0.2068, 0.0000) [4 per cell]
Mg (0.0000, 0.3089, 0.3665) [8 per cell]
Mg (0.0000, 0.5000, 0.1520) [4 per cell]

Summary:
Energy, eV per cell: -51.512
Density, Mg/m³: 3.98
Total magnetization, Bohr magnetons per cell: 0.00
Formation energy from the elements, eV per atom: 0.0615

=====

[6]
A plane-wave DFT calculation with PBE was carried out for crystalline Dy4Tm2Mg at its relaxed geometry.

Cell lengths 5.9132, 6.5235, 11.3917 Å; angles 90.00, 105.06, 90.00 degrees
Space group P2_1/m (No. 11)
Asymmetric unit:
Dy (0.0204, 0.2500, 0.3737) [2 per cell]
Dy (0.1544, 0.2500, 0.9397) [2 per cell]
Dy (0.3597, 0.0022, 0.2128) [4 per cell]
Tm (0.2716, 0.7500, 0.9225) [2 per cell]
Tm (0.4025, 0.7500, 0.4949) [2 per cell]
Mg (0.1457, 0.2500, 0.6639) [2 per cell]

Summary:
Energy, eV per cell: -56.380
Density, Mg/m³: 7.92
Total magnetization, Bohr magnetons per cell: 0.00
Offset from the most stable computed form, eV/f.u.: 0.00
Formation energy from the elements, eV per atom: 0.1080

=====

[7]
A plane-wave DFT calculation with PBE was carried out for crystalline Dy2Tm3Mg8 at its relaxed geometry.

Cell lengths 5.8292, 5.8292, 36.6945 Å; angles 90.00, 90.00, 120.00 degrees
Space group R-3m (No. 166, hexagonal axes)
Asymmetric unit:
Dy (0.0000, 0.0000, 0.1397) [6 per cell]
Tm (0.0000, 0.0000, 0.3165) [6 per cell]
Tm (0.0000, 0.0000, 0.5000) [3 per cell]
Mg (0.0000, 0.0000, 0.2254) [6 per cell]
Mg (0.0004, 0.5002, 0.2712) [18 per cell]

Summary:
Energy, eV per cell: -100.905
Density, Mg/m³: 4.73
Total magnetization, Bohr magnetons per cell: 0.02
Formation energy from the elements, eV per atom: 0.1339

=====

[8]
A plane-wave DFT calculation with PBE was carried out for crystalline Dy8Tm6Mg at its relaxed geometry.

Cell lengths 8.9128, 8.9128, 20.2014 Å; angles 90.00, 90.00, 120.00 degrees
Space group R-3 (No. 148, hexagonal axes)
Asymmetric unit:
Dy (0.0000, 0.0000, 0.0760) [6 per cell]
Dy (0.0821, 0.5255, 0.3099) [18 per cell]
Tm (0.0629, 0.8113, 0.2045) [18 per cell]
Mg (0.0000, 0.0000, 0.5000) [3 per cell]

Summary:
Energy, eV per cell: -190.960
Density, Mg/m³: 8.38
Total magnetization, Bohr magnetons per cell: 0.00
Offset from the most stable computed form, eV/f.u.: 0.00
Formation energy from the elements, eV per atom: 0.1058